PBE-GGA NdSm6Y2Ho, relaxed; calculated total energy = -4.94 eV/atom; theoretical density = 6.834 g/cm³; crystal system = monoclinic; SG = C2/c, No. 15; energy of formation from the pure elements = 119.7 meV/atom
1.0
-4.4149 4.4604 -7.1769
5.0993 -4.8153 -5.5078
-7.5193 -3.8535 2.8524
Sm Y Ho Nd
12 4 2 2
direct
0.5577 0.7603 0.1148
0.6843 0.0072 0.5579
0.0577 0.1148 0.7603
0.1155 0.7068 0.4786
0.3845 0.5214 0.2932
0.8845 0.2932 0.5214
0.8157 0.4421 0.9928
0.1843 0.5579 0.0072
0.6155 0.4786 0.7068
0.3157 0.9928 0.4421
0.4423 0.2397 0.8852
0.9423 0.8852 0.2397
0.9491 0.6995 0.7957
0.4491 0.7957 0.6995
0.5509 0.2043 0.3005
0.0509 0.3005 0.2043
0.2500 0.4107 0.5893
0.7500 0.5893 0.4107
0.7500 0.0340 0.9660
0.2500 0.9660 0.0340



PBE-GGA LaTa2I, relaxed; calculated total energy = -6.53 eV/atom; theoretical density = 11.636 g/cm³; crystal system = cubic; SG = Fm-3m, No. 225
1.0
0.0000 3.5513 3.5513
3.5513 0.0000 3.5513
3.5513 3.5513 0.0000
Ta La I
2 1 1
direct
0.2500 0.2500 0.2500
0.7500 0.7500 0.7500
0.5000 0.5000 0.5000
0.0000 0.0000 0.0000



PBE-GGA PrCuAu, relaxed; calculated total energy = -4.56 eV/atom; theoretical density = 9.729 g/cm³; crystal system = monoclinic; SG = Cm, No. 8; energy of formation from the pure elements = -505.0 meV/atom
1.0
4.0686 0.0000 0.0000
0.0000 4.0686 -0.0462
-2.0343 -1.8870 8.2992
Au Pr Cu
2 2 2
direct
0.9985 0.9939 0.9969
0.7485 0.2480 0.4969
0.4183 0.4147 0.8366
0.1684 0.6693 0.3368
0.8413 0.8385 0.6826
0.5913 0.0937 0.1827



PBE-GGA HoAuBr6, relaxed; calculated total energy = -3.15 eV/atom; theoretical density = 4.608 g/cm³; crystal system = triclinic; SG = P-1, No. 2
1.0
8.3428 1.7356 -0.8936
5.8139 7.0675 -0.9650
3.8282 2.4464 5.6968
Br Ho Au
6 1 1
direct
0.8754 0.4758 0.3374
0.1246 0.5242 0.6626
0.3808 0.7809 0.7072
0.6192 0.2191 0.2928
0.2818 0.9112 0.1458
0.7182 0.0888 0.8542
0.5000 0.5000 0.5000
0.0000 0.0000 0.0000